# PuPdRu

A relaxed structure of PuPdRu (GGA-PBE, Alexandria).

Cell lengths 6.799, 3.177, 10.063 Å; angles 90.00, 90.00, 90.00 degrees
Space group Pnma (No. 62)
One atom of each set of equivalent atoms:
Pu  0.141  0.250  0.232 [4 per cell]
Pd  0.153  0.250  0.942 [4 per cell]
Ru  0.080  0.250  0.606 [4 per cell]

Values from the calculation:
**ΔH_f (0 K)**: -0.134 eV/atom
**DOS(E_F)**: 25.83 states/eV/cell
**Volume**: 54.3 Å³/f.u.